Density functional theory data (PBE) for a geometry-optimized CaNb2NiPd structure.

a b c (Å): 4.8652 4.8652 5.2915
angles (deg): 90.00 90.00 90.00
Last column: nearest neighbours and their distance in Å.
Fractional positions:
Ca (0.0000, 0.0000, 0.0000)  2 Pd 2.65
Nb (0.0000, 0.5000, 0.5000)  2 Pd 2.43
Nb (0.5000, 0.0000, 0.5000)  2 Pd 2.43
Ni (0.5000, 0.5000, 0.0000)  4 Ca 3.44, 8 Nb 3.59
Pd (0.0000, 0.0000, 0.5000)  4 Nb 2.43, 2 Ca 2.65

Energy of formation from the pure elements, eV/atom: 1.219

***

Density functional theory data (PBE) for a geometry-optimized RbCa2NbNi structure.

a b c (Å): 5.9252 5.9252 4.6869
angles (deg): 90.00 90.00 90.00
Last column: nearest neighbours and their distance in Å.
Fractional positions:
Rb (0.0000, 0.0000, 0.0000)  8 Ca 3.78, 4 Ni 4.19
Ca (0.0000, 0.5000, 0.5000)  2 Nb 2.96
Ca (0.5000, 0.0000, 0.5000)  2 Nb 2.96
Nb (0.5000, 0.5000, 0.5000)  2 Ni 2.34
Ni (0.5000, 0.5000, 0.0000)  2 Nb 2.34

Energy of formation from the pure elements, eV/atom: 0.787

***

Density functional theory data (PBE) for a geometry-optimized Ca2NbReNi structure.

a b c (Å): 5.5784 5.5784 4.4174
angles (deg): 90.00 90.00 90.00
Last column: nearest neighbours and their distance in Å.
Fractional positions:
Ca (0.0000, 0.5000, 0.0000)  2 Nb 2.79
Ca (0.5000, 0.0000, 0.0000)  2 Nb 2.79
Nb (0.0000, 0.0000, 0.0000)  2 Ni 2.21
Re (0.5000, 0.5000, 0.5000)  8 Ca 3.56, 4 Ni 3.94
Ni (0.0000, 0.0000, 0.5000)  2 Nb 2.21

Offset from the most stable computed form, meV per atom: 311
Energy of formation from the pure elements, eV/atom: 1.848

***

Density functional theory data (PBE) for a geometry-optimized Ca2NbReNi structure.

a b c (Å): 5.6490 5.6490 4.5842
angles (deg): 90.00 90.00 90.00
Last column: nearest neighbours and their distance in Å.
Fractional positions:
Ca (0.0000, 0.5000, 0.0000)  2 Nb 2.82
Ca (0.5000, 0.0000, 0.0000)  2 Nb 2.82
Nb (0.0000, 0.0000, 0.0000)  2 Re 2.29
Re (0.0000, 0.0000, 0.5000)  2 Nb 2.29
Ni (0.5000, 0.5000, 0.5000)  8 Ca 3.64, 4 Re 3.99

Offset from the most stable computed form, meV per atom: 0
Energy of formation from the pure elements, eV/atom: 1.537

***

Density functional theory data (PBE) for a geometry-optimized CaNpNbO6 structure.

a b c (Å): 5.5750 5.5750 9.8198
angles (deg): 90.00 90.00 120.00
Last column: nearest neighbours and their distance in Å.
Fractional positions:
Ca (0.0000, 0.0000, 0.0000)  6 O 2.45
Ca (0.0000, 0.0000, 0.5000)  6 O 2.45
Np (0.3333, 0.6667, 0.2500)  6 O 2.14
Np (0.6667, 0.3333, 0.7500)  6 O 2.14
Nb (0.3333, 0.6667, 0.7500)  6 O 2.03
Nb (0.6667, 0.3333, 0.2500)  6 O 2.03
O (0.0141, 0.3694, 0.6403)  1 Nb 2.03, 1 Np 2.14
O (0.0141, 0.6447, 0.8597)  1 Nb 2.03, 1 Np 2.14
O (0.3553, 0.3694, 0.8597)  1 Nb 2.03, 1 Np 2.14
O (0.3553, 0.9859, 0.6403)  1 Nb 2.03, 1 Np 2.14
O (0.3694, 0.0141, 0.1403)  1 Nb 2.03, 1 Np 2.14
O (0.3694, 0.3553, 0.3597)  1 Nb 2.03, 1 Np 2.14
O (0.6306, 0.6447, 0.6403)  1 Nb 2.03, 1 Np 2.14
O (0.6306, 0.9859, 0.8597)  1 Nb 2.03, 1 Np 2.14
O (0.6447, 0.0141, 0.3597)  1 Nb 2.03, 1 Np 2.14
O (0.6447, 0.6306, 0.1403)  1 Nb 2.03, 1 Np 2.14
O (0.9859, 0.3553, 0.1403)  1 Nb 2.03, 1 Np 2.14
O (0.9859, 0.6306, 0.3597)  1 Nb 2.03, 1 Np 2.14

Formation energy without anion corrections, eV per formula unit: -25.6

***

Density functional theory data (PBE) for a geometry-optimized CaNb2O structure.

a b c (Å): 6.4297 6.4297 6.4297
angles (deg): 119.81 119.81 90.33
Last column: nearest neighbours and their distance in Å.
Fractional positions:
Ca (0.0000, 0.0000, 0.0000)  12 Nb 3.64-3.92, 4 O 3.94, 4 Ca 3.94
Ca (0.7500, 0.2500, 0.5000)  12 Nb 3.64-3.92, 4 O 3.94, 4 Ca 3.94
Nb (0.3489, 0.1250, 0.7239)  2 O 1.98
Nb (0.3750, 0.6511, 0.7761)  2 O 1.98
Nb (0.4011, 0.6250, 0.2761)  2 O 1.98
Nb (0.8750, 0.5989, 0.2239)  2 O 1.98
O (0.2500, 0.7500, 0.5000)  4 Nb 1.98
O (0.5000, 0.5000, 0.0000)  4 Nb 1.98

Formation energy without anion corrections, eV per formula unit: -1.6

***

Density functional theory data (PBE) for a geometry-optimized Ca3Nb5O12 structure.

a b c (Å): 11.3743 11.3743 11.3743
angles (deg): 109.47 109.47 109.47
Last column: nearest neighbours and their distance in Å.
Fractional positions:
Ca (0.1250, 0.2500, 0.3750)  8 O 2.45-2.64
Ca (0.1250, 0.3750, 0.7500)  8 O 2.45-2.64
Ca (0.2500, 0.3750, 0.1250)  8 O 2.45-2.64
Ca (0.2500, 0.8750, 0.6250)  8 O 2.45-2.64
Ca (0.3750, 0.1250, 0.2500)  8 O 2.45-2.64
Ca (0.3750, 0.7500, 0.1250)  8 O 2.45-2.64
Ca (0.6250, 0.2500, 0.8750)  8 O 2.45-2.64
Ca (0.6250, 0.8750, 0.7500)  8 O 2.45-2.64
Ca (0.7500, 0.1250, 0.3750)  8 O 2.45-2.64
Ca (0.7500, 0.6250, 0.8750)  8 O 2.45-2.64
Ca (0.8750, 0.6250, 0.2500)  8 O 2.45-2.64
Ca (0.8750, 0.7500, 0.6250)  8 O 2.45-2.64
Nb (0.0000, 0.0000, 0.0000)  6 O 2.15
Nb (0.0000, 0.0000, 0.5000)  6 O 2.15
Nb (0.0000, 0.5000, 0.0000)  6 O 2.15
Nb (0.0000, 0.5000, 0.5000)  6 O 2.15
Nb (0.1250, 0.7500, 0.8750)  4 O 1.95
Nb (0.1250, 0.8750, 0.2500)  4 O 1.95
Nb (0.2500, 0.1250, 0.8750)  4 O 1.95
Nb (0.2500, 0.6250, 0.3750)  4 O 1.95
Nb (0.3750, 0.2500, 0.6250)  4 O 1.95
Nb (0.3750, 0.6250, 0.7500)  4 O 1.95
Nb (0.5000, 0.0000, 0.0000)  6 O 2.15
Nb (0.5000, 0.0000, 0.5000)  6 O 2.15
Nb (0.5000, 0.5000, 0.0000)  6 O 2.15
Nb (0.5000, 0.5000, 0.5000)  6 O 2.15
Nb (0.6250, 0.3750, 0.2500)  4 O 1.95
Nb (0.6250, 0.7500, 0.3750)  4 O 1.95
Nb (0.7500, 0.3750, 0.6250)  4 O 1.95
Nb (0.7500, 0.8750, 0.1250)  4 O 1.95
Nb (0.8750, 0.1250, 0.7500)  4 O 1.95
Nb (0.8750, 0.2500, 0.1250)  4 O 1.95
O (0.0268, 0.2050, 0.1272)  2 Nb 1.95-2.15
O (0.0268, 0.3218, 0.8996)  2 Nb 1.95-2.15
O (0.0778, 0.7050, 0.6782)  2 Nb 1.95-2.15
O (0.0778, 0.8728, 0.3996)  2 Nb 1.95-2.15
O (0.1004, 0.6272, 0.4222)  2 Nb 1.95-2.15
O (0.1004, 0.9732, 0.6782)  2 Nb 1.95-2.15
O (0.1272, 0.0268, 0.2050)  2 Nb 1.95-2.15
O (0.1272, 0.6004, 0.9222)  2 Nb 1.95-2.15
O (0.1782, 0.2050, 0.5778)  2 Nb 1.95-2.15
O (0.1782, 0.4732, 0.6004)  2 Nb 1.95-2.15
O (0.2050, 0.1272, 0.0268)  2 Nb 1.95-2.15
O (0.2050, 0.5778, 0.1782)  2 Nb 1.95-2.15
O (0.2950, 0.3218, 0.9222)  2 Nb 1.95-2.15
O (0.2950, 0.4732, 0.3728)  2 Nb 1.95-2.15
O (0.3218, 0.8996, 0.0268)  2 Nb 1.95-2.15
O (0.3218, 0.9222, 0.2950)  2 Nb 1.95-2.15
O (0.3728, 0.2950, 0.4732)  2 Nb 1.95-2.15
O (0.3728, 0.5778, 0.8996)  2 Nb 1.95-2.15
O (0.3996, 0.0778, 0.8728)  2 Nb 1.95-2.15
O (0.3996, 0.8218, 0.5268)  2 Nb 1.95-2.15
O (0.4222, 0.1004, 0.6272)  2 Nb 1.95-2.15
O (0.4222, 0.8218, 0.7950)  2 Nb 1.95-2.15
O (0.4732, 0.3728, 0.2950)  2 Nb 1.95-2.15
O (0.4732, 0.6004, 0.1782)  2 Nb 1.95-2.15
O (0.5268, 0.3996, 0.8218)  2 Nb 1.95-2.15
O (0.5268, 0.6272, 0.7050)  2 Nb 1.95-2.15
O (0.5778, 0.1782, 0.2050)  2 Nb 1.95-2.15
O (0.5778, 0.8996, 0.3728)  2 Nb 1.95-2.15
O (0.6004, 0.1782, 0.4732)  2 Nb 1.95-2.15
O (0.6004, 0.9222, 0.1272)  2 Nb 1.95-2.15
O (0.6272, 0.4222, 0.1004)  2 Nb 1.95-2.15
O (0.6272, 0.7050, 0.5268)  2 Nb 1.95-2.15
O (0.6782, 0.0778, 0.7050)  2 Nb 1.95-2.15
O (0.6782, 0.1004, 0.9732)  2 Nb 1.95-2.15
O (0.7050, 0.5268, 0.6272)  2 Nb 1.95-2.15
O (0.7050, 0.6782, 0.0778)  2 Nb 1.95-2.15
O (0.7950, 0.4222, 0.8218)  2 Nb 1.95-2.15
O (0.7950, 0.8728, 0.9732)  2 Nb 1.95-2.15
O (0.8218, 0.5268, 0.3996)  2 Nb 1.95-2.15
O (0.8218, 0.7950, 0.4222)  2 Nb 1.95-2.15
O (0.8728, 0.3996, 0.0778)  2 Nb 1.95-2.15
O (0.8728, 0.9732, 0.7950)  2 Nb 1.95-2.15
O (0.8996, 0.0268, 0.3218)  2 Nb 1.95-2.15
O (0.8996, 0.3728, 0.5778)  2 Nb 1.95-2.15
O (0.9222, 0.1272, 0.6004)  2 Nb 1.95-2.15
O (0.9222, 0.2950, 0.3218)  2 Nb 1.95-2.15
O (0.9732, 0.6782, 0.1004)  2 Nb 1.95-2.15
O (0.9732, 0.7950, 0.8728)  2 Nb 1.95-2.15

Formation energy without anion corrections, eV per formula unit: -48.0

***

Density functional theory data (PBE) for a geometry-optimized CaNb4O8 structure.

a b c (Å): 7.1592 7.1592 9.7962
angles (deg): 93.26 93.26 93.58
Last column: nearest neighbours and their distance in Å.
Fractional positions:
Ca (0.0000, 0.0000, 0.0000)  4 O 2.28-2.51
Ca (0.2738, 0.2738, 0.2750)  8 O 2.37-2.58
Ca (0.5292, 0.5292, 0.5252)  8 O 2.35-2.58
Nb (0.0049, 0.5679, 0.5145)  5 O 2.01-2.20
Nb (0.0649, 0.4994, 0.0073)  5 O 1.98-2.17
Nb (0.2288, 0.7912, 0.2828)  6 O 2.03-2.23
Nb (0.2976, 0.7311, 0.7832)  6 O 2.01-2.21
Nb (0.3015, 0.3015, 0.7986)  4 O 2.05-2.06
Nb (0.4994, 0.0649, 0.0073)  5 O 1.98-2.17
Nb (0.5002, 0.5002, 0.9960)  4 O 2.03-2.07
Nb (0.5679, 0.0049, 0.5145)  5 O 2.01-2.20
Nb (0.7311, 0.2976, 0.7832)  6 O 2.01-2.21
Nb (0.7912, 0.2288, 0.2828)  6 O 2.03-2.23
Nb (0.7991, 0.7991, 0.2993)  4 O 2.05-2.06
Nb (0.9961, 0.9961, 0.4982)  4 O 2.03-2.07
O (0.0028, 0.2662, 0.4326)  3 Nb 2.04-2.26
O (0.0288, 0.2914, 0.8557)  3 Nb 2.04-2.21
O (0.0724, 0.7228, 0.8970)  2 Nb 1.98-2.01
O (0.0834, 0.8050, 0.6287)  3 Nb 2.01-2.20
O (0.2308, 0.4924, 0.6592)  3 Nb 2.05-2.20
O (0.2336, 0.5644, 0.3973)  2 Nb 2.03-2.05
O (0.2662, 0.0028, 0.4326)  3 Nb 2.04-2.26
O (0.2914, 0.0288, 0.8557)  3 Nb 2.04-2.21
O (0.2991, 0.9878, 0.1449)  2 Nb 2.06-2.09
O (0.3013, 0.5662, 0.1330)  3 Nb 2.05-2.22
O (0.4801, 0.8148, 0.6435)  2 Nb 2.01-2.03
O (0.4893, 0.7693, 0.9439)  3 Nb 2.02-2.17
O (0.4924, 0.2308, 0.6592)  3 Nb 2.05-2.20
O (0.5286, 0.7959, 0.3591)  3 Nb 2.05-2.23
O (0.5644, 0.2336, 0.3973)  2 Nb 2.03-2.05
O (0.5662, 0.3013, 0.1330)  3 Nb 2.05-2.22
O (0.7224, 0.9906, 0.1607)  3 Nb 2.04-2.24
O (0.7228, 0.0724, 0.8970)  2 Nb 1.98-2.01
O (0.7693, 0.4893, 0.9439)  3 Nb 2.02-2.17
O (0.7959, 0.5286, 0.3591)  3 Nb 2.05-2.23
O (0.8050, 0.0834, 0.6287)  3 Nb 2.01-2.20
O (0.8148, 0.4801, 0.6435)  2 Nb 2.01-2.03
O (0.9878, 0.2991, 0.1449)  2 Nb 2.06-2.09
O (0.9906, 0.7224, 0.1607)  3 Nb 2.04-2.24

Offset from the most stable computed form, meV per atom: 0
Formation energy without anion corrections, eV per formula unit: -33.1

***

Calculated values (μB per formula unit) of size of the total moment for the records, taken in order: 1.71 0.31 5.28 0.00 2.00 0.00 6.79 0.00.